Entry 1:
Here is a geometry-optimized Pu2Cl2O7 structure from the Alexandria database. Energies are from PBE.

Geometry as CIF:
```
data_Pu2Cl2O7
_symmetry_space_group_name_H-M 'C m m m'
_symmetry_Int_Tables_number 65
_symmetry_space_group_name_Hall '-C 2 2'
_cell_length_a 6.733
_cell_length_b 7.667
_cell_length_c 7.570
_cell_angle_alpha 90.00
_cell_angle_beta 90.00
_cell_angle_gamma 90.00
loop_
_atom_site_label
_atom_site_type_symbol
_atom_site_fract_x
_atom_site_fract_y
_atom_site_fract_z
_atom_site_occupancy
Pu1 Pu 0.000 0.227 0.000 1
Cl1 Cl 0.246 0.000 0.500 1
O1 O 0.000 0.000 0.156 1
O2 O 0.000 0.500 0.000 1
O3 O 0.250 0.250 0.159 1
```

Output
**E_form (uncorrected)**: -1332 meV per atom
**Calculated total energy**: -163.4 eV/cell

***

Entry 2:
Here is a geometry-optimized PuCl4O structure from the Alexandria database. Energies are from PBE.

Geometry as CIF:
```
data_PuCl4O
_symmetry_space_group_name_H-M 'I 4/m'
_symmetry_Int_Tables_number 87
_symmetry_space_group_name_Hall '-I 4'
_cell_length_a 9.733
_cell_length_b 9.733
_cell_length_c 4.068
_cell_angle_alpha 90.00
_cell_angle_beta 90.00
_cell_angle_gamma 90.00
loop_
_atom_site_label
_atom_site_type_symbol
_atom_site_fract_x
_atom_site_fract_y
_atom_site_fract_z
_atom_site_occupancy
Pu1 Pu 0.000 0.000 0.000 1
Cl1 Cl 0.055 0.248 0.000 1
O1 O 0.000 0.000 0.500 1
```

Output
**E_form (uncorrected)**: -1480 meV per atom
**Calculated total energy**: -71.1 eV/cell

***

Entry 3:
Here is a geometry-optimized Rb3Pu2Cl2O5 structure from the Alexandria database. Energies are from PBE.

Geometry as CIF:
```
data_Rb3Pu2Cl2O5
_symmetry_space_group_name_H-M 'I 4/m m m'
_symmetry_Int_Tables_number 139
_symmetry_space_group_name_Hall '-I 4 2'
_cell_length_a 4.359
_cell_length_b 4.359
_cell_length_c 26.231
_cell_angle_alpha 90.00
_cell_angle_beta 90.00
_cell_angle_gamma 90.00
loop_
_atom_site_label
_atom_site_type_symbol
_atom_site_fract_x
_atom_site_fract_y
_atom_site_fract_z
_atom_site_occupancy
Rb1 Rb 0.000 0.000 0.000 1
Rb2 Rb 0.000 0.000 0.174 1
Pu1 Pu 0.000 0.000 0.418 1
Cl1 Cl 0.000 0.000 0.308 1
O1 O 0.000 0.000 0.500 1
O2 O 0.000 0.500 0.085 1
```

Output
**E_form (uncorrected)**: -2389 meV per atom
**Calculated total energy**: -177.4 eV/cell

***

Entry 4:
Here is a geometry-optimized Rb4Pu3ClO12 structure from the Alexandria database. Energies are from PBE.

Geometry as CIF:
```
data_Rb4Pu3ClO12
_symmetry_space_group_name_H-M 'I m -3 m'
_symmetry_Int_Tables_number 229
_symmetry_space_group_name_Hall '-I 4 2 3'
_cell_length_a 8.916
_cell_length_b 8.916
_cell_length_c 8.916
_cell_angle_alpha 90.00
_cell_angle_beta 90.00
_cell_angle_gamma 90.00
loop_
_atom_site_label
_atom_site_type_symbol
_atom_site_fract_x
_atom_site_fract_y
_atom_site_fract_z
_atom_site_occupancy
Rb1 Rb 0.250 0.250 0.250 1
Pu1 Pu 0.000 0.000 0.500 1
Cl1 Cl 0.000 0.000 0.000 1
O1 O 0.000 0.000 0.298 1
O2 O 0.000 0.250 0.500 1
```

Output
**E_form (uncorrected)**: -2081 meV per atom
**Calculated total energy**: -299.6 eV/cell

***

Entry 5:
Here is a geometry-optimized Rb2PuCl4O2 structure from the Alexandria database. Energies are from PBE.

Geometry as CIF:
```
data_Rb2PuCl4O2
_symmetry_space_group_name_H-M 'C 1 2/m 1'
_symmetry_Int_Tables_number 12
_symmetry_space_group_name_Hall '-C 2y'
_cell_length_a 11.793
_cell_length_b 7.646
_cell_length_c 5.705
_cell_angle_alpha 90.00
_cell_angle_beta 96.37
_cell_angle_gamma 90.00
loop_
_atom_site_label
_atom_site_type_symbol
_atom_site_fract_x
_atom_site_fract_y
_atom_site_fract_z
_atom_site_occupancy
Rb1 Rb 0.162 0.000 0.302 1
Pu1 Pu 0.000 0.500 0.000 1
Cl1 Cl 0.104 0.244 0.789 1
O1 O 0.114 0.500 0.231 1
```

Output
**E_form (uncorrected)**: -2015 meV per atom
**Calculated total energy**: -103.4 eV/cell

***

Entry 6:
Here is a geometry-optimized Rb2PuCl3O3 structure from the Alexandria database. Energies are from PBE.

Geometry as CIF:
```
data_Rb2PuCl3O3
_symmetry_space_group_name_H-M 'P -6 2 m'
_symmetry_Int_Tables_number 189
_symmetry_space_group_name_Hall 'P -6 -2'
_cell_length_a 8.5776
_cell_length_b 8.5776
_cell_length_c 3.3066
_cell_angle_alpha 90.00
_cell_angle_beta 90.00
_cell_angle_gamma 120.00
loop_
_atom_site_label
_atom_site_type_symbol
_atom_site_fract_x
_atom_site_fract_y
_atom_site_fract_z
_atom_site_occupancy
Rb1 Rb 0.3333 0.6667 0.0000 1
Pu1 Pu 0.0000 0.0000 0.5000 1
Cl1 Cl 0.0000 0.3574 0.5000 1
O1 O 0.0000 0.8365 0.0000 1
```

Output
**E_form (uncorrected)**: -1612 meV per atom
**Calculated total energy**: -51.2 eV/cell

***

Entry 7:
Here is a geometry-optimized Pu2SeCl2O structure from the Alexandria database. Energies are from PBE.

Geometry as CIF:
```
data_Pu2SeCl2O
_symmetry_space_group_name_H-M 'P m c 21'
_symmetry_Int_Tables_number 26
_symmetry_space_group_name_Hall 'P 2c -2'
_cell_length_a 3.895
_cell_length_b 10.872
_cell_length_c 7.533
_cell_angle_alpha 90.00
_cell_angle_beta 90.00
_cell_angle_gamma 90.00
loop_
_atom_site_label
_atom_site_type_symbol
_atom_site_fract_x
_atom_site_fract_y
_atom_site_fract_z
_atom_site_occupancy
Pu1 Pu 0.000 0.065 0.000 1
Pu2 Pu 0.500 0.234 0.389 1
Se1 Se 0.500 0.078 0.698 1
Cl1 Cl 0.000 0.399 0.491 1
Cl2 Cl 0.500 0.268 0.033 1
O1 O 0.000 0.129 0.335 1
```

Output
**E_form (uncorrected)**: -2064 meV per atom
**Calculated total energy**: -106.4 eV/cell

***

Entry 8:
Here is a geometry-optimized Sm3PuCl2O6 structure from the Alexandria database. Energies are from PBE.

Geometry as CIF:
```
data_Sm3PuCl2O6
_symmetry_space_group_name_H-M 'C 1 2/m 1'
_symmetry_Int_Tables_number 12
_symmetry_space_group_name_Hall '-C 2y'
_cell_length_a 12.297
_cell_length_b 6.888
_cell_length_c 5.508
_cell_angle_alpha 90.00
_cell_angle_beta 100.89
_cell_angle_gamma 90.00
loop_
_atom_site_label
_atom_site_type_symbol
_atom_site_fract_x
_atom_site_fract_y
_atom_site_fract_z
_atom_site_occupancy
Sm1 Sm 0.000 0.000 0.000 1
Sm2 Sm 0.250 0.250 0.500 1
Pu1 Pu 0.000 0.500 0.500 1
Cl1 Cl 0.201 0.000 0.850 1
O1 O 0.065 0.254 0.295 1
O2 O 0.168 0.500 0.664 1
```

Output
**E_form (uncorrected)**: -2759 meV per atom
**Calculated total energy**: -190.1 eV/cell